# 1
Density functional theory data (PBE) for a relaxed structure of KRh2.

Summary:
Energy   -29.4 eV per cell
Mass density   6.21 g/cm³
M_tot   0.00 μB per atom

a b c (Å): 2.790 3.997 11.747
angles (deg): 90.00 90.00 90.00
Atoms (fractional coordinates):
K1 0.000 0.000 0.000
K2 0.500 0.500 0.500
Rh1 0.000 0.000 0.282
Rh2 0.000 0.000 0.718
Rh3 0.500 0.500 0.218
Rh4 0.500 0.500 0.782

---

# 2
Density functional theory data (PBE) for a relaxed structure of KRh3.

Summary:
Energy   -21.2 eV per cell
Mass density   7.34 g/cm³
M_tot   0.37 μB per atom
Relative energy among the computed polymorphs   0.23 eV per formula unit

a b c (Å): 2.753 3.765 7.588
angles (deg): 90.00 90.00 90.00
Atoms (fractional coordinates):
K1 0.000 0.000 0.000
Rh1 0.000 0.000 0.500
Rh2 0.500 0.500 0.328
Rh3 0.500 0.500 0.672